(1)
BeBN2F | PBE-GGA | optimized geometry

For the total magnetic moment, the calculation gives 0.00 μB/f.u. As for the energy: -5.354 eV/atom. As for the energy above the most stable polymorph in this dataset: 0.000 eV per atom.

a = 3.050 Å, b = 3.050 Å, c = 4.470 Å
α = 90.00°, β = 90.00°, γ = 90.00°
Space group P4/mmm (No. 123)
Asymmetric unit:
Be 0.000 0.000 0.000 (multiplicity 1)
B 0.500 0.500 0.500 (multiplicity 1)
N 0.000 0.500 0.500 (multiplicity 2)
F 0.500 0.500 0.000 (multiplicity 1)


(2)
KNa2Ag9 | PBE-GGA | optimized geometry

The formation enthalpy at 0 K is -0.040 eV per atom. For the total magnetic moment, the calculation gives 0.00 μB/f.u. As for the energy: -2.489 eV/atom.

a = 5.7115 Å, b = 5.7115 Å, c = 28.0396 Å
α = 90.00°, β = 90.00°, γ = 120.00°
Space group R-3m (No. 166, hexagonal axes)
Asymmetric unit:
K 0.0000 0.0000 0.0000 (multiplicity 3)
Na 0.0000 0.0000 0.1449 (multiplicity 6)
Ag 0.0000 0.0000 0.3329 (multiplicity 6)
Ag 0.0000 0.0000 0.5000 (multiplicity 3)
Ag 0.0020 0.5010 0.9155 (multiplicity 18)


(3)
Ac3CdPd8 | PBE-GGA | optimized geometry

The formation enthalpy at 0 K is -0.717 eV per atom. For the total magnetic moment, the calculation gives 0.00 μB/f.u. As for the energy: -5.282 eV/atom.

a = 5.6140 Å, b = 5.6140 Å, c = 27.4965 Å
α = 90.00°, β = 90.00°, γ = 120.00°
Space group R3m (No. 160, hexagonal axes)
Asymmetric unit:
Ac 0.0000 0.0000 0.0000 (multiplicity 3)
Ac 0.0000 0.0000 0.1297 (multiplicity 3)
Ac 0.0000 0.0000 0.5183 (multiplicity 3)
Cd 0.0000 0.0000 0.6418 (multiplicity 3)
Pd 0.0000 0.0000 0.3192 (multiplicity 3)
Pd 0.0000 0.0000 0.8196 (multiplicity 3)
Pd 0.0004 0.5002 0.0696 (multiplicity 9)
Pd 0.1682 0.3364 0.9029 (multiplicity 9)


(4)
CsAu | PBE-GGA | optimized geometry

The formation enthalpy at 0 K is -0.223 eV per atom. For the total magnetic moment, the calculation gives 0.00 μB/f.u. As for the energy: -2.288 eV/atom. As for the energy above the most stable polymorph in this dataset: 0.112 eV per atom.

a = 10.053 Å, b = 10.053 Å, c = 10.053 Å
α = 90.00°, β = 90.00°, γ = 90.00°
Space group Pm-3n (No. 223)
Asymmetric unit:
Cs 0.000 0.250 0.500 (multiplicity 6)
Au 0.000 0.500 0.250 (multiplicity 6)


(5)
RbSi | PBE-GGA | optimized geometry

For the total magnetic moment, the calculation gives 0.00 μB/f.u. As for the energy: -3.064 eV/atom. As for the energy above the most stable polymorph in this dataset: 0.179 eV per atom.

a = 13.3568 Å, b = 13.3568 Å, c = 3.9820 Å
α = 90.00°, β = 90.00°, γ = 120.00°
Space group P6_3/mmc (No. 194)
Asymmetric unit:
Rb 0.2268 0.4536 0.2500 (multiplicity 6)
Si 0.0536 0.5268 0.7500 (multiplicity 6)


(6)
Tb2PrTm6Sc3 | PBE-GGA | optimized geometry

The formation enthalpy at 0 K is 0.046 eV per atom. For the total magnetic moment, the calculation gives 0.00 μB/f.u. As for the energy: -4.943 eV/atom.

a = 6.019 Å, b = 10.420 Å, c = 11.420 Å
α = 90.00°, β = 100.10°, γ = 90.00°
Space group C2/m (No. 12)
Asymmetric unit:
Tb 0.000 0.167 0.000 (multiplicity 4)
Pr 0.000 0.500 0.000 (multiplicity 2)
Tm 0.246 0.167 0.739 (multiplicity 8)
Tm 0.247 0.500 0.739 (multiplicity 4)
Sc 0.000 0.000 0.500 (multiplicity 2)
Sc 0.000 0.333 0.500 (multiplicity 4)